Entry one
DFT (PBE) results for an optimized crystal structure of HfBiH2.

Structure (POSCAR):
```
HfBiH2
1.0
3.7932 0.0000 0.0000
0.0000 3.7723 -0.3114
0.0000 -1.2549 8.3854
Bi H Hf
2 4 2
Direct
0.2500 0.5927 0.1921
0.7500 0.4073 0.8079
0.2500 0.2484 0.4992
0.7500 0.7516 0.5008
0.7500 0.0808 0.1656
0.2500 0.9192 0.8344
0.7500 0.1980 0.3973
0.2500 0.8020 0.6027
```

Magnetization (μB per formula unit): 0.0

---

Entry two
DFT (PBE) results for an optimized crystal structure of HfBiH2.

Structure (POSCAR):
```
HfBiH2
1.0
-4.0131 0.5379 -1.8807
-1.1177 -4.1531 1.1971
-4.7382 0.2862 4.8935
Hf H Bi
2 4 2
Direct
0.5000 0.5000 0.0000
0.2500 0.7500 0.5000
0.8750 0.6248 0.7500
0.3752 0.6250 0.2500
0.3750 0.6252 0.7500
0.3748 0.1250 0.2500
0.7500 0.2500 0.5000
0.0000 0.0000 0.0000
```

Magnetization (μB per formula unit): 0.0

---

Entry three
DFT (PBE) results for an optimized crystal structure of HfBiH2.

Structure (POSCAR):
```
HfBiH2
1.0
3.5415 0.0000 0.0000
-1.7707 2.8560 -0.7243
0.0000 -0.6112 5.7775
H Hf Bi
2 1 1
Direct
0.2404 0.4809 0.7351
0.9359 0.8717 0.8126
0.5660 0.1320 0.6912
0.7577 0.5153 0.2612
```

Magnetization (μB per formula unit): 0.0

---

Comparing the structures above, entry three comes out on top by 144 meV/atom.